(1)
The following is a GGA-PBEsol calculation of a relaxed structure of CoBN2, from Alexandria. Values from VASP.

The structure in Quantum ESPRESSO input format:
```
&SYSTEM
  ibrav = 0, nat = 8, ntyp = 3
/
ATOMIC_SPECIES
B 10.81 B.upf
Co 58.93 Co.upf
N 14.01 N.upf
CELL_PARAMETERS angstrom
-3.504 -1.936 -0.689
2.966 0.142 -3.510
2.043 -3.427 -0.763
ATOMIC_POSITIONS crystal
B 0.250 0.500 0.250
B 0.500 0.000 0.500
Co 0.750 0.500 0.750
Co 0.000 0.000 0.000
N 0.563 0.750 0.375
N 0.187 0.750 0.875
N 0.875 0.250 0.563
N 0.375 0.250 0.187
```

formation energy from raw total energies	-456	meV/atom
M_tot	0.0	μB/cell
ρ	5.5	Mg/m³

=====

(2)
The following is a GGA-PBEsol calculation of a relaxed structure of CoBTeN2, from Alexandria. Values from VASP.

The structure in Quantum ESPRESSO input format:
```
&SYSTEM
  ibrav = 0, nat = 5, ntyp = 4
/
ATOMIC_SPECIES
B 10.81 B.upf
Te 127.60 Te.upf
Co 58.93 Co.upf
N 14.01 N.upf
CELL_PARAMETERS angstrom
3.457 0.000 0.000
0.000 3.457 0.000
0.000 0.000 5.711
ATOMIC_POSITIONS crystal
B 0.500 0.500 0.500
Te 0.000 0.000 0.500
Co 0.000 0.000 0.000
N 0.000 0.500 0.000
N 0.500 0.000 0.000
```

formation energy from raw total energies	1326	meV/atom
M_tot	0.0	μB/cell
ρ	5.5	Mg/m³

=====

(3)
The following is a GGA-PBEsol calculation of a relaxed structure of CoBTe2N, from Alexandria. Values from VASP.

The structure in Quantum ESPRESSO input format:
```
&SYSTEM
  ibrav = 0, nat = 5, ntyp = 4
/
ATOMIC_SPECIES
B 10.81 B.upf
Te 127.60 Te.upf
Co 58.93 Co.upf
N 14.01 N.upf
CELL_PARAMETERS angstrom
2.768 0.000 0.000
0.000 5.463 0.000
0.000 0.000 5.463
ATOMIC_POSITIONS crystal
B 0.000 0.000 0.000
Te 0.000 0.000 0.500
Te 0.000 0.500 0.000
Co 0.500 0.500 0.500
N 0.500 0.000 0.000
```

formation energy from raw total energies	525	meV/atom
M_tot	1.7	μB/cell
ρ	6.8	Mg/m³

=====

(4)
The following is a GGA-PBEsol calculation of a relaxed structure of Na3CoB, from Alexandria. Values from VASP.

The structure in Quantum ESPRESSO input format:
```
&SYSTEM
  ibrav = 0, nat = 5, ntyp = 3
/
ATOMIC_SPECIES
Na 22.99 Na.upf
B 10.81 B.upf
Co 58.93 Co.upf
CELL_PARAMETERS angstrom
-2.774 3.753 2.220
-3.669 -0.587 -3.593
-2.357 -3.505 2.979
ATOMIC_POSITIONS crystal
Na 0.000 0.500 0.000
Na 0.000 0.000 0.500
Na 0.500 0.000 0.000
B 0.500 0.500 0.500
Co 0.000 0.000 0.000
```

M_tot	1.6	μB/cell
ρ	1.7	Mg/m³
calculated formation energy	840	kJ/mol of formula units

=====

(5)
The following is a GGA-PBEsol calculation of a relaxed structure of Na2CoB, from Alexandria. Values from VASP.

The structure in Quantum ESPRESSO input format:
```
&SYSTEM
  ibrav = 0, nat = 4, ntyp = 3
/
ATOMIC_SPECIES
Na 22.99 Na.upf
B 10.81 B.upf
Co 58.93 Co.upf
CELL_PARAMETERS angstrom
-3.476 2.590 1.049
-3.466 0.317 -2.789
-3.911 -1.849 1.085
ATOMIC_POSITIONS crystal
Na 0.250 0.250 0.250
Na 0.750 0.750 0.750
B 0.000 0.000 0.000
Co 0.500 0.500 0.500
```

M_tot	1.2	μB/cell
ρ	3.1	Mg/m³
calculated formation energy	576	kJ/mol of formula units

=====

(6)
The following is a GGA-PBEsol calculation of a relaxed structure of Na3CoBSO7, from Alexandria. Values from VASP.

The structure in Quantum ESPRESSO input format:
```
&SYSTEM
  ibrav = 0, nat = 26, ntyp = 5
/
ATOMIC_SPECIES
Na 22.99 Na.upf
Co 58.93 Co.upf
B 10.81 B.upf
S 32.06 S.upf
O 16.00 O.upf
CELL_PARAMETERS angstrom
5.205 0.000 0.010
0.000 6.648 0.000
-0.179 0.000 8.902
ATOMIC_POSITIONS crystal
Na 0.750 0.250 0.564
Na 0.250 0.750 0.436
Na 0.259 0.993 0.745
Na 0.259 0.507 0.745
Na 0.741 0.493 0.255
Na 0.741 0.007 0.255
Co 0.736 0.750 0.836
Co 0.264 0.250 0.164
B 0.767 0.750 0.565
B 0.233 0.250 0.435
S 0.784 0.250 0.919
S 0.216 0.750 0.081
O 0.207 0.250 0.586
O 0.793 0.750 0.414
O 0.532 0.750 0.638
O 0.468 0.250 0.362
O 0.977 0.750 0.667
O 0.023 0.250 0.333
O 0.067 0.250 0.953
O 0.933 0.750 0.047
O 0.359 0.750 0.939
O 0.641 0.250 0.061
O 0.716 0.071 0.826
O 0.716 0.429 0.826
O 0.284 0.571 0.174
O 0.284 0.929 0.174
```

formation energy from raw total energies	-1668	meV/atom
M_tot	6.0	μB/cell
ρ	3.0	Mg/m³

=====

(7)
The following is a GGA-PBEsol calculation of a relaxed structure of Na6Co2B4SO16, from Alexandria. Values from VASP.

The structure in Quantum ESPRESSO input format:
```
&SYSTEM
  ibrav = 0, nat = 58, ntyp = 5
/
ATOMIC_SPECIES
Na 22.99 Na.upf
Co 58.93 Co.upf
B 10.81 B.upf
S 32.06 S.upf
O 16.00 O.upf
CELL_PARAMETERS angstrom
9.655 0.000 0.000
4.827 8.361 0.000
4.827 2.787 7.883
ATOMIC_POSITIONS crystal
Na 0.969 0.531 0.969
Na 0.531 0.969 0.969
Na 0.531 0.531 0.969
Na 0.969 0.969 0.531
Na 0.719 0.281 0.719
Na 0.281 0.719 0.719
Na 0.969 0.531 0.531
Na 0.531 0.969 0.531
Na 0.281 0.281 0.719
Na 0.719 0.719 0.281
Na 0.281 0.719 0.281
Na 0.719 0.281 0.281
Co 0.125 0.125 0.125
Co 0.125 0.625 0.125
Co 0.625 0.125 0.125
Co 0.125 0.125 0.625
B 0.334 0.334 0.999
B 0.334 0.999 0.334
B 0.999 0.334 0.334
B 0.334 0.334 0.334
B 0.916 0.916 0.916
B 0.251 0.916 0.916
B 0.916 0.251 0.916
B 0.916 0.916 0.251
S 0.500 0.500 0.500
S 0.750 0.750 0.750
O 0.563 0.563 0.311
O 0.311 0.563 0.563
O 0.563 0.311 0.563
O 0.563 0.563 0.563
O 0.213 0.304 0.990
O 0.493 0.213 0.990
O 0.304 0.990 0.213
O 0.304 0.493 0.990
O 0.990 0.213 0.304
O 0.990 0.493 0.213
O 0.493 0.990 0.304
O 0.213 0.990 0.493
O 0.493 0.304 0.213
O 0.990 0.304 0.493
O 0.213 0.493 0.304
O 0.946 0.037 0.757
O 0.304 0.213 0.493
O 0.037 0.757 0.946
O 0.260 0.946 0.757
O 0.757 0.946 0.037
O 0.037 0.260 0.757
O 0.757 0.260 0.946
O 0.260 0.757 0.037
O 0.260 0.037 0.946
O 0.946 0.757 0.260
O 0.946 0.260 0.037
O 0.757 0.037 0.260
O 0.037 0.946 0.260
O 0.687 0.687 0.687
O 0.939 0.687 0.687
O 0.687 0.939 0.687
O 0.687 0.687 0.939
```

formation energy from raw total energies	-1834	meV/atom
M_tot	4.0	μB/cell
ρ	3.1	Mg/m³

=====

(8)
The following is a GGA-PBEsol calculation of a relaxed structure of NaCo2TcB, from Alexandria. Values from VASP.

The structure in Quantum ESPRESSO input format:
```
&SYSTEM
  ibrav = 0, nat = 5, ntyp = 4
/
ATOMIC_SPECIES
Na 22.99 Na.upf
B 10.81 B.upf
Co 58.93 Co.upf
Tc 98.00 Tc.upf
CELL_PARAMETERS angstrom
-0.517 -2.485 3.140
3.989 -0.603 0.180
0.402 3.503 2.838
ATOMIC_POSITIONS crystal
Na 0.000 0.000 0.000
B 0.500 0.500 0.500
Co 0.000 0.500 0.000
Co 0.500 0.000 0.000
Tc 0.000 0.000 0.500
```

M_tot	4.9	μB/cell
ρ	5.6	Mg/m³
calculated formation energy	1432	kJ/mol of formula units